Below is a relaxed RbAgI2 crystal, with properties calculated at the GGA-PBEsol level.

Cell: 7.354 7.354 7.354 Å, 109.02 109.70 109.70°
Sites, in units of the cell vectors:
I1 0.074 0.699 0.125
I2 0.926 0.051 0.625
I3 0.574 0.875 0.949
I4 0.426 0.375 0.301
Rb1 0.500 0.250 0.750
Rb2 0.000 0.500 0.500
Ag1 0.500 0.750 0.250
Ag2 0.000 0.000 0.000



Below is a relaxed Rb2AgSbI6 crystal, with properties calculated at the GGA-PBEsol level.

Cell: 8.326 8.326 8.326 Å, 60.00 60.00 60.00°
Sites, in units of the cell vectors:
Rb1 0.750 0.750 0.750
Rb2 0.250 0.250 0.250
Ag1 0.500 0.500 0.500
Sb1 0.000 0.000 0.000
I1 0.747 0.253 0.253
I2 0.747 0.747 0.253
I3 0.253 0.747 0.747
I4 0.747 0.253 0.747
I5 0.253 0.747 0.253
I6 0.253 0.253 0.747



Below is a relaxed RbSi2AgI crystal, with properties calculated at the GGA-PBEsol level.

Cell: 5.468 5.468 5.451 Å, 90.00 90.00 90.00°
Sites, in units of the cell vectors:
I1 0.000 0.000 0.000
Si1 0.000 0.500 0.000
Si2 0.500 0.000 0.000
Rb1 0.500 0.500 0.500
Ag1 0.000 0.000 0.500



Below is a relaxed Rb2SiAgI crystal, with properties calculated at the GGA-PBEsol level.

Cell: 5.444 6.778 6.778 Å, 90.00 90.00 90.00°
Each line ends with the local moment (μB).
Sites, in units of the cell vectors:
I1 0.000 0.000 0.000  0.01
Si1 0.500 0.500 0.500  0.58
Rb1 0.000 0.000 0.500  0.01
Rb2 0.000 0.500 0.000  0.01
Ag1 0.500 0.000 0.000  0.01



Formation energy from raw total energies list, top to bottom, in eV per atom: -0.8040; -0.7464; 1.0261; 0.3641
DOS(E_F) list, top to bottom, in states/eV/cell: 0.0; 0.3; 4.2; 1.5